Record 1
A plane-wave DFT calculation with PBE was carried out for a relaxed YAuO2F crystal.

Computed properties:
- Energy relative to the elements, uncorrected: -1.050 eV/atom
- M_tot: 0.00 μB per formula unit

Geometry as CIF:
```
data_YAuO2F
_symmetry_space_group_name_H-M 'P 4/m m m'
_symmetry_Int_Tables_number 123
_symmetry_space_group_name_Hall '-P 4 2'
_cell_length_a 4.154
_cell_length_b 4.154
_cell_length_c 4.438
_cell_angle_alpha 90.00
_cell_angle_beta 90.00
_cell_angle_gamma 90.00
loop_
_atom_site_label
_atom_site_fract_x
_atom_site_fract_y
_atom_site_fract_z
_atom_site_occupancy
Y1 0.000 0.000 0.000 1
Au1 0.500 0.500 0.500 1
O1 0.000 0.500 0.500 1
F1 0.500 0.500 0.000 1
```

---

Record 2
A plane-wave DFT calculation with PBE was carried out for a relaxed YC crystal.

Computed properties:
- Energy of formation from the pure elements: -0.144 eV per formula unit
- Energy above the most stable polymorph in this dataset: 142.2 meV/atom
- M_tot: 0.00 μB per formula unit

Geometry as CIF:
```
data_YC
_symmetry_space_group_name_H-M 'C 1 m 1'
_symmetry_Int_Tables_number 8
_symmetry_space_group_name_Hall 'C -2y'
_cell_length_a 8.360
_cell_length_b 3.554
_cell_length_c 7.161
_cell_angle_alpha 90.00
_cell_angle_beta 112.89
_cell_angle_gamma 90.00
loop_
_atom_site_label
_atom_site_fract_x
_atom_site_fract_y
_atom_site_fract_z
_atom_site_occupancy
Y1 0.000 0.000 0.000 1
Y2 0.145 0.500 0.677 1
Y3 0.337 0.500 0.311 1
C1 0.156 0.000 0.424 1
C2 0.285 0.000 0.996 1
C3 0.332 0.000 0.552 1
```

---

Record 3
A plane-wave DFT calculation with PBE was carried out for a relaxed LaTb2Th3 crystal.

Computed properties:
- Energy of formation from the pure elements: 0.311 eV per formula unit
- M_tot: 0.00 μB per formula unit

Geometry as CIF:
```
data_LaTb2Th3
_symmetry_space_group_name_H-M 'C 1 2/c 1'
_symmetry_Int_Tables_number 15
_symmetry_space_group_name_Hall '-C 2yc'
_cell_length_a 17.618
_cell_length_b 7.168
_cell_length_c 6.237
_cell_angle_alpha 90.00
_cell_angle_beta 90.32
_cell_angle_gamma 90.00
loop_
_atom_site_label
_atom_site_fract_x
_atom_site_fract_y
_atom_site_fract_z
_atom_site_occupancy
La1 0.000 0.133 0.250 1
Tb1 0.170 0.128 0.586 1
Th1 0.000 0.379 0.750 1
Th2 0.166 0.380 0.079 1
```

---

Record 4
A plane-wave DFT calculation with PBE was carried out for a relaxed Ba2SrRh crystal.

Computed properties:
- Energy of formation from the pure elements: 0.917 eV per formula unit
- Energy above the most stable polymorph in this dataset: 429.3 meV/atom
- M_tot: 0.00 μB per formula unit

Geometry as CIF:
```
data_Ba2SrRh
_symmetry_space_group_name_H-M 'C m m m'
_symmetry_Int_Tables_number 65
_symmetry_space_group_name_Hall '-C 2 2'
_cell_length_a 7.493
_cell_length_b 7.509
_cell_length_c 5.174
_cell_angle_alpha 90.00
_cell_angle_beta 90.00
_cell_angle_gamma 90.00
loop_
_atom_site_label
_atom_site_fract_x
_atom_site_fract_y
_atom_site_fract_z
_atom_site_occupancy
Ba1 0.250 0.250 0.000 1
Sr1 0.000 0.000 0.500 1
Rh1 0.000 0.500 0.500 1
```

---

Record 5
A plane-wave DFT calculation with PBE was carried out for a relaxed Y12V3H5 crystal.

Computed properties:
- VASP energy: -0.44630 Ry per atom
- M_tot: 8.78 μB per formula unit

Geometry as CIF:
```
data_Y12V3H5
_symmetry_space_group_name_H-M 'I a -3 d'
_symmetry_Int_Tables_number 230
_symmetry_space_group_name_Hall '-I 4bd 2c 3'
_cell_length_a 15.404
_cell_length_b 15.404
_cell_length_c 15.404
_cell_angle_alpha 90.00
_cell_angle_beta 90.00
_cell_angle_gamma 90.00
loop_
_atom_site_label
_atom_site_fract_x
_atom_site_fract_y
_atom_site_fract_z
_atom_site_occupancy
Y1 0.038 0.056 0.652 1
V1 0.000 0.250 0.125 1
H1 0.000 0.000 0.000 1
H2 0.000 0.250 0.375 1
```

---

Record 6
A plane-wave DFT calculation with PBE was carried out for a relaxed Ac2AlZn4Ge3 crystal.

Computed properties:
- Energy of formation from the pure elements: -4.319 eV per formula unit
- M_tot: 0.00 μB per formula unit

Geometry as CIF:
```
data_Ac2AlZn4Ge3
_symmetry_space_group_name_H-M 'P -4 m 2'
_symmetry_Int_Tables_number 115
_symmetry_space_group_name_Hall 'P -4 -2'
_cell_length_a 4.482
_cell_length_b 4.482
_cell_length_c 10.559
_cell_angle_alpha 90.00
_cell_angle_beta 90.00
_cell_angle_gamma 90.00
loop_
_atom_site_label
_atom_site_fract_x
_atom_site_fract_y
_atom_site_fract_z
_atom_site_occupancy
Ac1 0.000 0.500 0.250 1
Al1 0.000 0.000 0.500 1
Zn1 0.000 0.000 0.000 1
Zn2 0.000 0.500 0.628 1
Zn3 0.500 0.500 0.000 1
Ge1 0.000 0.500 0.868 1
Ge2 0.500 0.500 0.500 1
```